! ErAsAuO, optimized geometry, DFT PBE-GGA; values from VASP
! - ΔE to the lowest computed polymorph (eV per formula unit) = 0.00
! - calculated total energy (eV per atom) = -5.96
&SYSTEM
  ibrav = 0, nat = 8, ntyp = 4
/
ATOMIC_SPECIES
As 74.92 As.upf
Au 196.97 Au.upf
Er 167.26 Er.upf
O 16.00 O.upf
CELL_PARAMETERS angstrom
3.9862 0.0000 0.0000
0.0000 3.9862 0.0000
0.0000 0.0000 9.0394
ATOMIC_POSITIONS angstrom
As 0.0000 1.9931 2.7088
Au 0.0000 0.0000 4.5197
As 1.9931 0.0000 6.3306
Er 1.9931 0.0000 1.0348
O 1.9931 1.9931 0.0000
Er 0.0000 1.9931 8.0046
O 0.0000 0.0000 0.0000
Au 1.9931 1.9931 4.5197



! DyNpAg, optimized geometry, DFT PBE-GGA; values from VASP
! - calculated total energy (eV per atom) = -5.80
&SYSTEM
  ibrav = 0, nat = 3, ntyp = 3
/
ATOMIC_SPECIES
Dy 162.50 Dy.upf
Np 237.00 Np.upf
Ag 107.87 Ag.upf
CELL_PARAMETERS angstrom
0.1390 -3.6439 3.1905
-0.9163 0.8435 4.6824
-4.1028 -1.6289 1.9975
ATOMIC_POSITIONS angstrom
Dy 0.0000 0.0000 0.0000
Np -3.6601 -3.3219 7.4028
Ag -1.2200 -1.1073 2.4676



! PmCo4B4, optimized geometry, DFT PBE-GGA; values from VASP
! - calculated total energy (eV per atom) = -7.13
&SYSTEM
  ibrav = 0, nat = 18, ntyp = 3
/
ATOMIC_SPECIES
Co 58.93 Co.upf
B 10.81 B.upf
Pm 145.00 Pm.upf
CELL_PARAMETERS angstrom
7.0289 0.0000 0.0000
0.0000 7.0289 0.0000
0.0000 0.0000 3.7967
ATOMIC_POSITIONS angstrom
Co 2.5143 6.2118 1.4916
B 2.3754 5.6031 3.4009
B 4.6535 1.4258 3.4009
B 1.4258 2.3754 0.3958
Co 2.6974 1.0001 3.3900
B 2.0886 1.1390 1.5026
Co 4.3315 6.0287 3.3900
Co 6.2118 4.5146 2.3051
Pm 0.0000 0.0000 0.0000
B 4.9403 5.8899 1.5026
B 5.6031 4.6535 0.3958
Co 6.0287 2.6974 0.4067
Co 1.0001 4.3315 0.4067
Pm 3.5144 3.5144 1.8984
B 5.8899 2.0886 2.2941
Co 4.5146 0.8171 1.4916
B 1.1390 4.9403 2.2941
Co 0.8171 2.5143 2.3051



Which of these has the lowest calculated total energy?
PmCo4B4



Number 3 is which compound?
PmCo4B4



Which formula does entry 3 have?
PmCo4B4



What did the second record say?
! DyNpAg, optimized geometry, DFT PBE-GGA; values from VASP
! - calculated total energy (eV per atom) = -5.80
&SYSTEM
  ibrav = 0, nat = 3, ntyp = 3
/
ATOMIC_SPECIES
Dy 162.50 Dy.upf
Np 237.00 Np.upf
Ag 107.87 Ag.upf
CELL_PARAMETERS angstrom
0.1390 -3.6439 3.1905
-0.9163 0.8435 4.6824
-4.1028 -1.6289 1.9975
ATOMIC_POSITIONS angstrom
Dy 0.0000 0.0000 0.0000
Np -3.6601 -3.3219 7.4028
Ag -1.2200 -1.1073 2.4676